A geometry-optimized PrMoAs2O8 structure, computed with PBE+U.

Cell and atoms, written as extended XYZ:
```
12
Lattice="5.481 0.000 0.000 -2.740 4.746 0.000 0.000 0.000 7.084" Properties=species:S:1:pos:R:3 pbc="T T T"
O 1.422 3.985 5.580
O 0.000 1.522 5.580
O 2.740 3.224 1.504
O -1.422 3.985 5.580
O 1.318 0.761 1.504
O 2.740 1.582 3.697
O 0.000 3.164 3.386
O 4.162 0.761 1.504
Pr 0.000 0.000 3.542
Mo 0.000 0.000 0.000
As 2.740 1.582 2.005
As 0.000 3.164 5.079
```

**Energy**: -6.8396 eV/atom